NiMoIrW2 | PBE | optimized geometry

The value obtained for the magnetic moment is 0.00 Bohr magnetons per cell. For the final energy, the calculation gives -44.14 eV/f.u. For the density, the calculation gives 13.82 g cm⁻³. Its formation energy from the elements is 1448 meV per atom.

a b c (Å): 4.3889 4.4576 4.3889
angles (deg): 90.00 90.00 90.00
Last column: nearest neighbours and their distance in Å.
Atoms (fractional coordinates):
Ni  0.0000  0.0000  0.0000  4 W 2.19, 2 Ir 2.23
Mo  0.5000  0.5000  0.5000  4 Ir 3.10, 8 W 3.13
Ir  0.0000  0.5000  0.0000  2 Ni 2.23
W  0.0000  0.0000  0.5000  2 Ni 2.19
W  0.5000  0.0000  0.0000  2 Ni 2.19



EuBeS2 | PBE | optimized geometry

The value obtained for the magnetic moment is 7.00 Bohr magnetons per cell. For the final energy, the calculation gives -27.45 eV/f.u. For the density, the calculation gives 3.23 g cm⁻³. The calculation puts the uncorrected formation energy at -5.20 eV/f.u.

a b c (Å): 4.4874 4.4874 7.1222
angles (deg): 71.64 71.64 60.00
Last column: nearest neighbours and their distance in Å.
Atoms (fractional coordinates):
Eu  0.5000  0.5000  0.5000  6 S 2.96
Be  0.0000  0.0000  0.0000  2 S 1.88
S  0.0944  0.0944  0.7167  1 Be 1.88
S  0.9056  0.9056  0.2833  1 Be 1.88



TiV2Mo2 | PBE | optimized geometry

The energy above the most stable polymorph in this dataset comes out at 1.85 eV per formula unit. The value obtained for the magnetic moment is 1.58 Bohr magnetons per cell. For the final energy, the calculation gives -46.32 eV/f.u. For the density, the calculation gives 7.25 g cm⁻³. Its formation energy from the elements is 295 meV per atom.

a b c (Å): 7.1247 7.1247 3.0819
angles (deg): 90.00 90.00 90.00
Last column: nearest neighbours and their distance in Å.
Atoms (fractional coordinates):
Mo  0.1604  0.6604  0.5000  6 V 2.52-2.65
Mo  0.6604  0.8396  0.5000  6 V 2.52-2.65
Mo  0.8396  0.3396  0.5000  6 V 2.52-2.65
Mo  0.3396  0.1604  0.5000  6 V 2.52-2.65
V  0.3582  0.8582  0.0000  6 Mo 2.52-2.65, 2 Ti 2.74
V  0.8582  0.6418  0.0000  6 Mo 2.52-2.65, 2 Ti 2.74
V  0.6418  0.1418  0.0000  6 Mo 2.52-2.65, 2 Ti 2.74
V  0.1418  0.3582  0.0000  6 Mo 2.52-2.65, 2 Ti 2.74
Ti  0.0000  0.0000  0.0000  4 V 2.74
Ti  0.5000  0.5000  0.0000  4 V 2.74